# 1
This record from Alexandria describes a relaxed structure of SeBr. The functional is PBE-GGA.

a = 7.025 Å, b = 7.025 Å, c = 8.632 Å
α = 92.07°, β = 92.07°, γ = 30.31°
Fractional positions:
Se: 0.000 0.000 0.000
Se: 0.058 0.058 0.547
Se: 0.440 0.440 0.494
Br: 0.372 0.372 0.916
Br: 0.628 0.628 0.086
Br: 0.710 0.710 0.599

The energy relative to the elements, uncorrected is 0.0 eV/f.u. Its space group is No. 8.

---

# 2
This record from Alexandria describes a relaxed structure of PmLuIrAu. The functional is PBE-GGA.

a = 4.988 Å, b = 4.988 Å, c = 4.988 Å
α = 60.00°, β = 60.00°, γ = 60.00°
Fractional positions:
Pm: 0.000 0.000 0.000
Lu: 0.500 0.500 0.500
Ir: 0.750 0.750 0.750
Au: 0.250 0.250 0.250

The formation energy is -777 meV per atom. Its space group is No. 216.

---

no.,DFT total energy (eV/atom)
1,-2.561
2,-6.129